Lu2Co after structural relaxation. Source: OQMD via LeMat-Bulk, functional GGA-PBE.

Calculated values
total energy = -104.651 eV per cell

a = 10.9788 Å, b = 10.9788 Å, c = 10.9788 Å
α = 90.00°, β = 90.00°, γ = 90.00°
With the nearest neighbours (Å) after each atom.
Space group Fd-3m (No. 227, origin choice 2)
One atom of each set of equivalent atoms:
Lu  0.0000  0.0000  0.0000 [16 per cell]  2 Co 2.38
Co  0.1250  0.1250  0.1250 [8 per cell]  4 Lu 2.38

=====

LaPuHg after structural relaxation. Source: OQMD via LeMat-Bulk, functional GGA-PBE.

Calculated values
total energy = -76.630 eV per cell
energy above the most stable polymorph in this dataset = 0.000 eV/atom

a = 7.4271 Å, b = 7.4271 Å, c = 7.4271 Å
α = 90.00°, β = 90.00°, γ = 90.00°
With the nearest neighbours (Å) after each atom.
Space group F-43m (No. 216)
One atom of each set of equivalent atoms:
La  0.0000  0.0000  0.0000 [4 per cell]  4 Hg 3.22
Pu  0.0000  0.0000  0.5000 [4 per cell]  4 Hg 3.22
Hg  0.2500  0.2500  0.2500 [4 per cell]  4 Pu 3.22, 4 La 3.22

=====

K2LiZnF6 after structural relaxation. Source: OQMD via LeMat-Bulk, functional GGA-PBE.

Calculated values
total energy = -81.600 eV per cell
energy above the most stable polymorph in this dataset = 0.002 eV/atom

a = 5.5291 Å, b = 5.5291 Å, c = 7.8458 Å
α = 90.00°, β = 90.00°, γ = 90.00°
With the nearest neighbours (Å) after each atom.
Space group I4/m (No. 87)
One atom of each set of equivalent atoms:
K  0.0000  0.5000  0.2500 [4 per cell]  12 F 2.76-2.78
Li  0.0000  0.0000  0.0000 [2 per cell]  6 F 1.96-1.98
Zn  0.0000  0.0000  0.5000 [2 per cell]  6 F 1.95
F  0.0000  0.0000  0.2518 [4 per cell]  1 Zn 1.95, 1 Li 1.98
F  0.2467  0.7482  0.5000 [8 per cell]  1 Zn 1.95, 1 Li 1.96

=====

NaGe2Pt2 after structural relaxation. Source: OQMD via LeMat-Bulk, functional GGA-PBE.

Calculated values
total energy = -49.790 eV per cell

a = 4.1793 Å, b = 4.1793 Å, c = 10.7463 Å
α = 90.00°, β = 90.00°, γ = 90.00°
With the nearest neighbours (Å) after each atom.
Space group I4/mmm (No. 139)
One atom of each set of equivalent atoms:
Na  0.0000  0.0000  0.0000 [2 per cell]  8 Ge 3.22, 8 Pt 3.40
Ge  0.0000  0.0000  0.3817 [4 per cell]  4 Pt 2.52, 1 Ge 2.54
Pt  0.0000  0.5000  0.2500 [4 per cell]  4 Ge 2.52

=====

BaAs2PtAu after structural relaxation. Source: OQMD via LeMat-Bulk, functional GGA-PBE.

Calculated values
total energy = -48.344 eV per cell

a = 4.6395 Å, b = 4.6364 Å, c = 10.3973 Å
α = 90.00°, β = 90.01°, γ = 90.00°
With the nearest neighbours (Å) after each atom.
Space group P2_1/m (No. 11)
One atom of each set of equivalent atoms:
Ba  0.2490  0.2500  0.2460 [2 per cell]  8 As 3.45-3.48, 4 Au 3.50-3.52, 5 Pt 3.57-3.70
As  0.2467  0.2500  0.6449 [2 per cell]  1 Pt 2.55, 4 Au 2.76-2.78
As  0.2497  0.7500  0.0001 [2 per cell]  4 Pt 2.58-2.59
Pt  0.2508  0.2500  0.8903 [2 per cell]  5 As 2.55-2.59
Au  0.2550  0.7500  0.5005 [2 per cell]  4 As 2.76-2.78

=====

NdGdNi2Sn after structural relaxation. Source: OQMD via LeMat-Bulk, functional GGA-PBE.

Calculated values
total energy = -54.726 eV per cell

a = 3.7425 Å, b = 4.0556 Å, c = 14.0935 Å
α = 90.00°, β = 90.00°, γ = 90.00°
With the nearest neighbours (Å) after each atom.
Space group Amm2 (No. 38)
One atom of each set of equivalent atoms:
Nd  0.0000  0.0000  0.0000 [2 per cell]  6 Ni 2.91-3.02
Gd  0.0000  0.0000  0.2710 [2 per cell]  6 Ni 2.89-2.97
Ni  0.5000  0.0000  0.4342 [2 per cell]  2 Ni 2.49
Ni  0.5000  0.0000  0.8316 [2 per cell]  2 Ni 2.49, 1 Sn 2.73
Sn  0.5000  0.0000  0.6377 [2 per cell]  2 Ni 2.73-2.87

=====

MgAgTeO after structural relaxation. Source: OQMD via LeMat-Bulk, functional GGA-PBE.

Calculated values
total energy = -133.853 eV per cell
energy above the most stable polymorph in this dataset = 0.054 eV/atom

a = 6.0265 Å, b = 15.7179 Å, c = 6.5672 Å
α = 90.00°, β = 90.00°, γ = 90.00°
With the nearest neighbours (Å) after each atom.
Space group Pbca (No. 61)
One atom of each set of equivalent atoms:
Mg  0.0337  0.2459  0.1164 [8 per cell]  3 O 1.97-1.98
Ag  0.2195  0.0851  0.8521 [8 per cell]  1 O 2.32
Te  0.0118  0.5660  0.2370 [8 per cell]  4 Ag 2.79-3.05, 1 Mg 3.00, 2 Te 3.02
O  0.2100  0.2323  0.8643 [8 per cell]  3 Mg 1.97-1.98

=====

YCdPdAu after structural relaxation. Source: OQMD via LeMat-Bulk, functional GGA-PBE.

Calculated values
total energy = -71.845 eV per cell
energy above the most stable polymorph in this dataset = 0.157 eV/atom

a = 6.8890 Å, b = 6.8890 Å, c = 6.8890 Å
α = 90.00°, β = 90.00°, γ = 90.00°
With the nearest neighbours (Å) after each atom.
Space group F-43m (No. 216)
One atom of each set of equivalent atoms:
Y  0.0000  0.0000  0.0000 [4 per cell]  4 Cd 2.98, 4 Au 2.98
Cd  0.2500  0.2500  0.2500 [4 per cell]  4 Pd 2.98, 4 Y 2.98
Pd  0.0000  0.0000  0.5000 [4 per cell]  4 Au 2.98, 4 Cd 2.98
Au  0.2500  0.2500  0.7500 [4 per cell]  4 Y 2.98, 4 Pd 2.98

=====

Please write out number 3 again, unchanged.
K2LiZnF6 after structural relaxation. Source: OQMD via LeMat-Bulk, functional GGA-PBE.

Calculated values
total energy = -81.600 eV per cell
energy above the most stable polymorph in this dataset = 0.002 eV/atom

a = 5.5291 Å, b = 5.5291 Å, c = 7.8458 Å
α = 90.00°, β = 90.00°, γ = 90.00°
With the nearest neighbours (Å) after each atom.
Space group I4/m (No. 87)
One atom of each set of equivalent atoms:
K  0.0000  0.5000  0.2500 [4 per cell]  12 F 2.76-2.78
Li  0.0000  0.0000  0.0000 [2 per cell]  6 F 1.96-1.98
Zn  0.0000  0.0000  0.5000 [2 per cell]  6 F 1.95
F  0.0000  0.0000  0.2518 [4 per cell]  1 Zn 1.95, 1 Li 1.98
F  0.2467  0.7482  0.5000 [8 per cell]  1 Zn 1.95, 1 Li 1.96